A plane-wave DFT calculation with PBEsol was carried out for a relaxed TlMoOs2Pb crystal.

Computed properties:
Its total energy is -34.22 eV per cell. As for the space-group type: No. 123. For the energy of formation from the pure elements, the calculation gives 1.721 eV/atom.

Cell: 4.7060 4.7060 5.3050 Å, 90.00 90.00 90.00°
Last column: nearest neighbours and their distance in Å.
Sites, in units of the cell vectors:
1 Mo 0.0000 0.0000 0.0000  4 Os 2.35
2 Pb 0.0000 0.0000 0.5000  2 Mo 2.65
3 Tl 0.5000 0.5000 0.5000  4 Pb 3.33, 8 Os 3.55
4 Os 0.0000 0.5000 0.0000  2 Mo 2.35
5 Os 0.5000 0.0000 0.0000  2 Mo 2.35



A plane-wave DFT calculation with PBEsol was carried out for a relaxed Mo2OsPd crystal.

Computed properties:
Its total energy is -40.28 eV per cell. As for the space-group type: No. 225. For the energy of formation from the pure elements, the calculation gives 0.356 eV/atom.

Cell: 4.3881 4.3881 4.3881 Å, 60.00 60.00 60.00°
Last column: nearest neighbours and their distance in Å.
Sites, in units of the cell vectors:
1 Mo 0.7500 0.7500 0.7500  4 Pd 2.69, 4 Os 2.69
2 Mo 0.2500 0.2500 0.2500  4 Os 2.69, 4 Pd 2.69
3 Pd 0.0000 0.0000 0.0000  8 Mo 2.69
4 Os 0.5000 0.5000 0.5000  8 Mo 2.69



A plane-wave DFT calculation with PBEsol was carried out for a relaxed MoOsPt2 crystal.

Computed properties:
Its total energy is -38.38 eV per cell. As for the space-group type: No. 25. For the energy of formation from the pure elements, the calculation gives -0.117 eV/atom.

Cell: 2.7018 3.9297 5.5264 Å, 90.00 90.00 90.00°
Last column: nearest neighbours and their distance in Å.
Sites, in units of the cell vectors:
1 Mo 0.0000 0.0000 0.5068  6 Pt 2.69-2.83, 2 Mo 2.70, 4 Os 2.73
2 Pt 0.0000 0.0000 0.9939  2 Mo 2.69-2.83, 6 Pt 2.70-2.78, 4 Os 2.75
3 Pt 0.5000 0.5000 0.2537  6 Pt 2.70-2.78, 2 Os 2.72-2.81, 4 Mo 2.76
4 Os 0.5000 0.5000 0.7456  2 Os 2.70, 6 Pt 2.72-2.81, 4 Mo 2.73



A plane-wave DFT calculation with PBEsol was carried out for a relaxed MoOsPt3 crystal.

Computed properties:
Its total energy is -34.42 eV per cell. As for the space-group type: No. 221. For the energy of formation from the pure elements, the calculation gives 2.090 eV/atom.

Cell: 4.6510 4.6510 4.6510 Å, 90.00 90.00 90.00°
Last column: nearest neighbours and their distance in Å.
Sites, in units of the cell vectors:
1 Pt 0.0000 0.5000 0.0000  2 Mo 2.33
2 Pt 0.5000 0.0000 0.0000  2 Mo 2.33
3 Pt 0.0000 0.0000 0.5000  2 Mo 2.33
4 Mo 0.0000 0.0000 0.0000  6 Pt 2.33
5 Os 0.5000 0.5000 0.5000  12 Pt 3.29



A plane-wave DFT calculation with PBEsol was carried out for a relaxed MoOs2Pt crystal.

Computed properties:
Its total energy is -41.75 eV per cell. As for the space-group type: No. 99. For the energy of formation from the pure elements, the calculation gives 0.354 eV/atom.

Cell: 3.3035 3.3035 5.4636 Å, 90.00 90.00 90.00°
Last column: nearest neighbours and their distance in Å.
Sites, in units of the cell vectors:
1 Os 0.5000 0.5000 0.2336  2 Mo 2.59-2.87, 4 Os 2.64, 4 Pt 2.75
2 Os 0.0000 0.0000 0.0096  4 Os 2.64, 2 Pt 2.67-2.80, 4 Mo 2.71
3 Mo 0.5000 0.5000 0.7591  6 Os 2.59-2.87, 4 Pt 2.74
4 Pt 0.0000 0.0000 0.4977  6 Os 2.67-2.80, 4 Mo 2.74



A plane-wave DFT calculation with PBEsol was carried out for a relaxed MoOs2Pt crystal.

Computed properties:
Its total energy is -42.91 eV per cell. As for the space-group type: No. 47. For the energy of formation from the pure elements, the calculation gives 0.063 eV/atom.

Cell: 2.7110 3.9001 5.4769 Å, 90.00 90.00 90.00°
Last column: nearest neighbours and their distance in Å.
Sites, in units of the cell vectors:
1 Os 0.0000 0.0000 0.2553  4 Os 2.68-2.80, 4 Mo 2.73, 4 Pt 2.76
2 Os 0.0000 0.0000 0.7447  4 Os 2.68-2.80, 4 Mo 2.73, 4 Pt 2.76
3 Pt 0.5000 0.5000 0.0000  2 Pt 2.71, 2 Mo 2.74, 8 Os 2.76
4 Mo 0.5000 0.5000 0.5000  2 Mo 2.71, 8 Os 2.73, 2 Pt 2.74



A plane-wave DFT calculation with PBEsol was carried out for a relaxed MoOs2Pt crystal.

Computed properties:
Its total energy is -43.31 eV per cell. As for the space-group type: No. 119. For the energy of formation from the pure elements, the calculation gives -0.036 eV/atom.

Cell: 3.8534 3.8534 4.7387 Å, 113.99 113.99 90.00°
Last column: nearest neighbours and their distance in Å.
Sites, in units of the cell vectors:
1 Pt 0.5000 0.5000 0.0000  8 Os 2.72-2.73, 4 Mo 2.73
2 Os 0.7500 0.2500 0.5000  4 Mo 2.72, 4 Os 2.73, 4 Pt 2.73
3 Os 0.0000 0.0000 0.0000  4 Pt 2.72, 4 Mo 2.73, 4 Os 2.73
4 Mo 0.2500 0.7500 0.5000  8 Os 2.72-2.73, 4 Pt 2.73



A plane-wave DFT calculation with PBEsol was carried out for a relaxed MoOs2Pt crystal.

Computed properties:
Its total energy is -41.59 eV per cell. As for the space-group type: No. 225. For the energy of formation from the pure elements, the calculation gives 0.393 eV/atom.

Cell: 4.3680 4.3680 4.3680 Å, 60.00 60.00 60.00°
Last column: nearest neighbours and their distance in Å.
Sites, in units of the cell vectors:
1 Mo 0.0000 0.0000 0.0000  8 Os 2.67
2 Os 0.7500 0.7500 0.7500  4 Mo 2.67, 4 Pt 2.67
3 Os 0.2500 0.2500 0.2500  4 Mo 2.67, 4 Pt 2.67
4 Pt 0.5000 0.5000 0.5000  8 Os 2.67



A plane-wave DFT calculation with PBEsol was carried out for a relaxed RbMoOs3 crystal.

Computed properties:
Its total energy is -28.41 eV per cell. As for the space-group type: No. 221. For the energy of formation from the pure elements, the calculation gives 4.205 eV/atom.

Cell: 4.5715 4.5715 4.5715 Å, 90.00 90.00 90.00°
Last column: nearest neighbours and their distance in Å.
Sites, in units of the cell vectors:
1 Mo 0.5000 0.5000 0.5000  12 Os 3.23
2 Os 0.5000 0.0000 0.0000  2 Rb 2.29
3 Os 0.0000 0.5000 0.0000  2 Rb 2.29
4 Os 0.0000 0.0000 0.5000  2 Rb 2.29
5 Rb 0.0000 0.0000 0.0000  6 Os 2.29



A plane-wave DFT calculation with PBEsol was carried out for a relaxed RbSrMoOs2 crystal.

Computed properties:
Its total energy is -31.42 eV per cell. As for the space-group type: No. 123. For the energy of formation from the pure elements, the calculation gives 1.530 eV/atom.

Cell: 4.7602 4.7602 5.4329 Å, 90.00 90.00 90.00°
Last column: nearest neighbours and their distance in Å.
Sites, in units of the cell vectors:
1 Os 0.0000 0.5000 0.0000  2 Mo 2.38
2 Os 0.5000 0.0000 0.0000  2 Mo 2.38
3 Sr 0.5000 0.5000 0.5000  4 Rb 3.37, 8 Os 3.61
4 Mo 0.0000 0.0000 0.0000  4 Os 2.38
5 Rb 0.0000 0.0000 0.5000  2 Mo 2.72



A plane-wave DFT calculation with PBEsol was carried out for a relaxed Re2MoOs crystal.

Computed properties:
Its total energy is -49.22 eV per cell. As for the space-group type: No. 216. For the energy of formation from the pure elements, the calculation gives 0.358 eV/atom.

Cell: 4.3675 4.3675 4.3675 Å, 60.00 60.00 60.00°
Last column: nearest neighbours and their distance in Å.
Sites, in units of the cell vectors:
1 Os 0.2500 0.2500 0.2500  4 Mo 2.67, 4 Re 2.67
2 Mo 0.5000 0.5000 0.5000  4 Os 2.67, 4 Re 2.67
3 Re 0.7500 0.7500 0.7500  4 Mo 2.67, 4 Re 2.67
4 Re 0.0000 0.0000 0.0000  4 Re 2.67, 4 Os 2.67



A plane-wave DFT calculation with PBEsol was carried out for a relaxed ReMoOs2 crystal.

Computed properties:
Its total energy is -49.20 eV per cell. As for the space-group type: No. 8. For the energy of formation from the pure elements, the calculation gives 0.082 eV/atom.

Cell: 2.7340 4.7276 4.7464 Å, 99.33 90.00 106.81°
Last column: nearest neighbours and their distance in Å.
Sites, in units of the cell vectors:
1 Os 0.9957 0.9914 0.9970  4 Re 2.69-2.79, 3 Mo 2.69-2.75, 5 Os 2.69-2.78
2 Os 0.2519 0.5037 0.7473  5 Os 2.69-2.78, 3 Re 2.70, 4 Mo 2.73-2.75
3 Mo 0.7486 0.4972 0.2435  7 Os 2.69-2.75, 2 Mo 2.73, 3 Re 2.74-2.80
4 Re 0.5038 0.0077 0.5122  7 Os 2.69-2.79, 2 Re 2.73, 3 Mo 2.74-2.80